Below is a relaxed structure of K2TlTc, with properties calculated at the PBE level.

ΔE to the lowest computed polymorph ... 0 meV per atom
SG ... Pm (6)
E_tot ... -12.2 eV for the cell shown
Formation enthalpy at 0 K ... 259 kJ/mol of formula units

Cell: 3.6501 4.1623 10.1921 Å, 90.00 91.22 90.00°
Atoms (fractional coordinates):
K: 0.0000 0.0000 0.0000
K: 0.4668 0.5000 0.4054
Tl: 0.4844 0.0000 0.6972
Tc: 0.9851 0.5000 0.7073